Pr2ErCd | PBE | optimized geometry

Space-group type = No. 166
Formation energy from the elements = 0.141 eV/atom
Total magnetic moment = 0.000 μB/f.u.
Offset from the most stable computed form = 290 meV per atom
Final energy = -0.133 hartree per atom

abc: 3.538 3.538 37.342
angles: 90.00 90.00 120.00
Fractional coordinates of all 12 atoms:
1 Pr 0.000 0.000 0.089
2 Pr 0.000 0.000 0.911
3 Pr 0.333 0.667 0.577
4 Pr 0.333 0.667 0.756
5 Pr 0.667 0.333 0.244
6 Pr 0.667 0.333 0.423
7 Er 0.000 0.000 0.500
8 Er 0.333 0.667 0.167
9 Er 0.667 0.333 0.833
10 Cd 0.000 0.000 0.000
11 Cd 0.333 0.667 0.667
12 Cd 0.667 0.333 0.333

Pr4ErCd3 | PBE | optimized geometry

Space-group type = No. 47
Formation energy from the elements = -0.197 eV/atom
Total magnetic moment = 0.054 μB/f.u.
Final energy = -0.129 hartree per atom

abc: 3.810 5.600 11.307
angles: 90.00 90.00 90.00
Fractional coordinates of all 8 atoms:
1 Pr 0.000 0.000 0.000
2 Pr 0.000 0.000 0.500
3 Pr 0.000 0.500 0.239
4 Pr 0.000 0.500 0.761
5 Er 0.500 0.500 0.500
6 Cd 0.500 0.000 0.254
7 Cd 0.500 0.000 0.746
8 Cd 0.500 0.500 0.000

Pr3Er2Cd3 | PBE | optimized geometry

Space-group type = No. 71
Formation energy from the elements = -0.232 eV/atom
Total magnetic moment = 0.251 μB/f.u.
Final energy = -0.129 hartree per atom

abc: 3.768 5.543 22.648
angles: 90.00 90.00 90.00
Fractional coordinates of all 16 atoms:
1 Pr 0.000 0.000 0.000
2 Pr 0.000 0.500 0.125
3 Pr 0.000 0.500 0.875
4 Pr 0.500 0.000 0.375
5 Pr 0.500 0.000 0.625
6 Pr 0.500 0.500 0.500
7 Er 0.000 0.000 0.235
8 Er 0.000 0.000 0.765
9 Er 0.500 0.500 0.265
10 Er 0.500 0.500 0.735
11 Cd 0.000 0.000 0.500
12 Cd 0.000 0.500 0.377
13 Cd 0.000 0.500 0.623
14 Cd 0.500 0.000 0.123
15 Cd 0.500 0.000 0.877
16 Cd 0.500 0.500 0.000

Pr6ErCd | PBE | optimized geometry

Space-group type = No. 123
Formation energy from the elements = -0.047 eV/atom
Total magnetic moment = 0.000 μB/f.u.
Offset from the most stable computed form = 0 meV per atom
Final energy = -0.159 hartree per atom

abc: 5.071 5.071 10.332
angles: 90.00 90.00 90.00
Fractional coordinates of all 8 atoms:
1 Pr 0.000 0.000 0.000
2 Pr 0.000 0.000 0.500
3 Pr 0.000 0.500 0.246
4 Pr 0.000 0.500 0.754
5 Pr 0.500 0.000 0.246
6 Pr 0.500 0.000 0.754
7 Er 0.500 0.500 0.500
8 Cd 0.500 0.500 0.000

Pr4ErCd | PBE | optimized geometry

Space-group type = No. 123
Formation energy from the elements = -0.093 eV/atom
Total magnetic moment = 0.000 μB/f.u.
Offset from the most stable computed form = 0 meV per atom
Final energy = -0.154 hartree per atom

abc: 3.715 3.715 14.327
angles: 90.00 90.00 90.00
Fractional coordinates of all 6 atoms:
1 Pr 0.000 0.000 0.148
2 Pr 0.000 0.000 0.852
3 Pr 0.500 0.500 0.327
4 Pr 0.500 0.500 0.673
5 Er 0.000 0.000 0.500
6 Cd 0.500 0.500 0.000

Pr7ErCd4 | PBE | optimized geometry

Space-group type = No. 12
Formation energy from the elements = -0.031 eV/atom
Total magnetic moment = 0.000 μB/f.u.
Final energy = -0.129 hartree per atom

abc: 8.137 8.137 10.062
angles: 119.68 119.68 42.59
Fractional coordinates of all 12 atoms:
1 Pr 0.000 0.000 0.000
2 Pr 0.237 0.237 0.694
3 Pr 0.296 0.296 0.115
4 Pr 0.431 0.431 0.593
5 Pr 0.569 0.569 0.407
6 Pr 0.704 0.704 0.885
7 Pr 0.763 0.763 0.306
8 Er 0.500 0.500 0.000
9 Cd 0.040 0.040 0.713
10 Cd 0.181 0.181 0.344
11 Cd 0.819 0.819 0.656
12 Cd 0.960 0.960 0.287

Pr6ErCd | PBE | optimized geometry

Space-group type = No. 2
Formation energy from the elements = 0.399 eV/atom
Total magnetic moment = 0.000 μB/f.u.
Offset from the most stable computed form = 446 meV per atom
Final energy = -0.142 hartree per atom

abc: 6.600 6.618 9.194
angles: 90.88 110.51 119.45
Fractional coordinates of all 8 atoms:
1 Pr 0.036 0.073 0.211
2 Pr 0.257 0.687 0.215
3 Pr 0.344 0.528 0.786
4 Pr 0.656 0.472 0.214
5 Pr 0.743 0.313 0.785
6 Pr 0.964 0.927 0.789
7 Er 0.500 0.000 0.000
8 Cd 0.500 0.500 0.500

PrEr2Cd8 | PBE | optimized geometry

Space-group type = No. 12
Formation energy from the elements = -0.255 eV/atom
Total magnetic moment = 0.000 μB/f.u.
Final energy = -0.080 hartree per atom

abc: 8.957 8.957 5.339
angles: 106.75 106.75 125.70
Fractional coordinates of all 11 atoms:
1 Pr 0.000 0.000 0.000
2 Er 0.311 0.689 0.500
3 Er 0.689 0.311 0.500
4 Cd 0.101 0.365 0.742
5 Cd 0.203 0.797 0.000
6 Cd 0.365 0.101 0.742
7 Cd 0.489 0.489 0.738
8 Cd 0.511 0.511 0.262
9 Cd 0.635 0.899 0.258
10 Cd 0.797 0.203 0.000
11 Cd 0.899 0.635 0.258

Pr2ErCd4 | PBE | optimized geometry

Space-group type = No. 139
Formation energy from the elements = 0.202 eV/atom
Total magnetic moment = 0.000 μB/f.u.
Offset from the most stable computed form = 369 meV per atom
Final energy = -0.086 hartree per atom

abc: 5.596 5.596 16.019
angles: 90.00 90.00 90.00
Fractional coordinates of all 14 atoms:
1 Pr 0.000 0.000 0.109
2 Pr 0.000 0.000 0.891
3 Pr 0.500 0.500 0.391
4 Pr 0.500 0.500 0.609
5 Er 0.000 0.000 0.500
6 Er 0.500 0.500 0.000
7 Cd 0.000 0.000 0.312
8 Cd 0.000 0.000 0.688
9 Cd 0.000 0.500 0.000
10 Cd 0.000 0.500 0.500
11 Cd 0.500 0.000 0.000
12 Cd 0.500 0.000 0.500
13 Cd 0.500 0.500 0.188
14 Cd 0.500 0.500 0.812

PrEr2Cd | PBE | optimized geometry

Space-group type = No. 123
Formation energy from the elements = -0.149 eV/atom
Total magnetic moment = 0.000 μB/f.u.
Offset from the most stable computed form = 0 meV per atom
Final energy = -0.142 hartree per atom

abc: 3.624 3.624 8.999
angles: 90.00 90.00 90.00
Fractional coordinates of all 4 atoms:
1 Pr 0.000 0.000 0.000
2 Er 0.500 0.500 0.282
3 Er 0.500 0.500 0.718
4 Cd 0.000 0.000 0.500

Pr3Er2Cd | PBE | optimized geometry

Space-group type = No. 123
Formation energy from the elements = -0.080 eV/atom
Total magnetic moment = 0.000 μB/f.u.
Final energy = -0.152 hartree per atom

abc: 3.667 3.667 14.316
angles: 90.00 90.00 90.00
Fractional coordinates of all 6 atoms:
1 Pr 0.000 0.000 0.000
2 Pr 0.000 0.000 0.350
3 Pr 0.000 0.000 0.650
4 Er 0.500 0.500 0.174
5 Er 0.500 0.500 0.826
6 Cd 0.500 0.500 0.500

PrEr7Cd4 | PBE | optimized geometry

Space-group type = No. 12
Formation energy from the elements = 0.017 eV/atom
Total magnetic moment = 0.000 μB/f.u.
Final energy = -0.123 hartree per atom

abc: 7.852 7.852 9.665
angles: 119.54 119.54 42.52
Fractional coordinates of all 12 atoms:
1 Pr 0.000 0.000 0.000
2 Er 0.072 0.072 0.415
3 Er 0.206 0.206 0.880
4 Er 0.264 0.264 0.308
5 Er 0.500 0.500 0.000
6 Er 0.736 0.736 0.692
7 Er 0.794 0.794 0.120
8 Er 0.928 0.928 0.585
9 Cd 0.318 0.318 0.660
10 Cd 0.459 0.459 0.289
11 Cd 0.541 0.541 0.711
12 Cd 0.682 0.682 0.340